[1]
## RuPb2O5 (PBE)

Data for an optimized crystal structure of RuPb2O5.

Summary:
Calculated total energy = -6.180 eV/atom
ΔE_f (raw) = -0.9947 eV/atom

Unit cell a=5.849 b=5.849 c=9.361 alpha=90.00 beta=90.00 gamma=90.00
Element x y z (fractional)
Ru 0.000 0.000 0.000
Ru 0.500 0.500 0.500
Pb 0.000 0.500 0.304
Pb 0.000 0.500 0.804
Pb 0.500 0.000 0.304
Pb 0.500 0.000 0.804
O 0.000 0.000 0.184
O 0.216 0.216 0.929
O 0.216 0.784 0.929
O 0.284 0.284 0.429
O 0.284 0.716 0.429
O 0.500 0.500 0.684
O 0.716 0.284 0.429
O 0.716 0.716 0.429
O 0.784 0.216 0.929
O 0.784 0.784 0.929

[2]
## SbSF3 (PBE)

Data for an optimized crystal structure of SbSF3.

Summary:
Calculated total energy = -4.236 eV/atom
ΔE_f (raw) = -1.4628 eV/atom

Unit cell a=6.245 b=5.094 c=6.566 alpha=90.00 beta=90.15 gamma=90.00
Element x y z (fractional)
Sb 0.250 0.000 0.051
Sb 0.750 0.500 0.949
S 0.251 0.872 0.373
S 0.749 0.372 0.627
F 0.030 0.774 0.902
F 0.250 0.202 0.809
F 0.469 0.774 0.902
F 0.531 0.274 0.098
F 0.750 0.702 0.191
F 0.970 0.274 0.098

Mass density, respectively: 6.2 3.4 g/cm3.
V, respectively: 160.1 104.4 Å³/f.u..